Record 1
Compound: YInRh2
Source: Alexandria
Functional: PBE-GGA
Structure: relaxed

CIF file:
```
data_YInRh2
_chemical_formula_sum 'Y1 In1 Rh2'
_cell_length_a 3.396
_cell_length_b 3.396
_cell_length_c 6.439
_cell_angle_alpha 90.00
_cell_angle_beta 90.00
_cell_angle_gamma 90.00
_space_group_name_H-M_alt 'P 4/m m m'
_space_group_IT_number 123
_space_group_name_Hall '-P 4 2'
loop_
_atom_site_label
_atom_site_fract_x
_atom_site_fract_y
_atom_site_fract_z
_atom_site_occupancy
Y1 0.000 0.000 0.000 1
In1 0.000 0.000 0.500 1
Rh1 0.500 0.500 0.265 1
```


Record 2
# SrFeMo PBE-GGA relaxed
# - ΔE to the lowest computed polymorph (meV/atom) = 682.7
data_SrFeMo
_chemical_formula_sum 'Sr4 Fe4 Mo4'
_cell_length_a 6.397
_cell_length_b 6.397
_cell_length_c 6.397
_cell_angle_alpha 90.00
_cell_angle_beta 90.00
_cell_angle_gamma 90.00
_space_group_name_H-M_alt 'F -4 3 m'
_space_group_IT_number 216
_space_group_name_Hall 'F -4 2 3'
loop_
_atom_site_label
_atom_site_fract_x
_atom_site_fract_y
_atom_site_fract_z
_atom_site_occupancy
Sr1 0.000 0.000 0.000 1
Fe1 0.250 0.250 0.250 1
Mo1 0.000 0.000 0.500 1


| no. | energy relative to the elements (eV per formula unit) | N(E_F) (states/eV per cell) |
| --- | --- | --- |
| 1 | -2.6 | 1.84 |
| 2 | 3.9 | 18.39 |